A geometry-optimized Sm4SeS5 structure. Source: Alexandria, functional GGA-PBE.

```
Sm4SeS5
1.0
4.113 0.000 0.000
0.000 8.206 -0.840
-2.056 -2.062 8.586
S Sm Se
5 4 1
direct
0.165 0.341 0.330 S
0.835 0.659 0.670 S
0.839 0.112 0.679 S
0.161 0.888 0.321 S
0.500 0.500 0.000 S
0.995 0.730 0.989 Sm
0.689 0.143 0.378 Sm
0.005 0.270 0.011 Sm
0.311 0.857 0.622 Sm
0.500 0.000 0.000 Se
```

Space-group type: C2/m, No. 12
Formation energy from raw total energies: -1950 meV per atom
Relative energy among the computed polymorphs: 0 meV/atom


A geometry-optimized SmSeS structure. Source: Alexandria, functional GGA-PBE.

```
SmSeS
1.0
-3.983 0.371 0.392
-0.367 -4.002 0.053
2.998 1.850 8.108
Se S Sm
2 2 2
direct
0.500 0.000 0.000 Se
0.000 0.500 0.000 Se
0.184 0.184 0.369 S
0.816 0.816 0.631 S
0.646 0.646 0.291 Sm
0.354 0.354 0.709 Sm
```

Space-group type: I4/mmm, No. 139
Formation energy from raw total energies: -1656 meV per atom
Relative energy among the computed polymorphs: 28 meV/atom


A geometry-optimized SmSeS structure. Source: Alexandria, functional GGA-PBE.

```
SmSeS
1.0
3.803 0.000 0.000
0.000 3.803 0.000
-1.901 -1.901 4.676
Sm S Se
1 1 1
direct
0.658 0.658 0.317 Sm
0.027 0.027 0.054 S
0.315 0.315 0.629 Se
```

Space-group type: I4mm, No. 107
Formation energy from raw total energies: -1349 meV per atom
Relative energy among the computed polymorphs: 335 meV/atom


A geometry-optimized Sm5SeS4 structure. Source: Alexandria, functional GGA-PBE.

```
Sm5SeS4
1.0
-0.912 -2.736 -2.830
1.157 -2.963 2.492
-13.453 1.972 5.312
S Sm Se
4 5 1
direct
0.202 0.202 0.404 S
0.600 0.600 0.200 S
0.798 0.798 0.596 S
0.400 0.400 0.800 S
0.103 0.103 0.207 Sm
0.897 0.897 0.793 Sm
0.699 0.699 0.397 Sm
0.500 0.500 0.000 Sm
0.301 0.301 0.603 Sm
0.000 0.000 0.000 Se
```

Space-group type: I4/mmm, No. 139
Formation energy from raw total energies: -1969 meV per atom
Relative energy among the computed polymorphs: 12 meV/atom


A geometry-optimized Sm3SeS3 structure. Source: Alexandria, functional GGA-PBE.

```
Sm3SeS3
1.0
5.631 0.000 0.000
0.000 11.563 0.000
0.000 0.000 11.563
Sm S Se
12 12 4
direct
0.000 0.622 0.871 Sm
0.500 0.878 0.371 Sm
0.000 0.125 0.876 Sm
0.500 0.628 0.122 Sm
0.000 0.128 0.378 Sm
0.500 0.625 0.624 Sm
0.000 0.378 0.129 Sm
0.500 0.122 0.629 Sm
0.000 0.872 0.622 Sm
0.500 0.375 0.376 Sm
0.500 0.372 0.878 Sm
0.000 0.875 0.124 Sm
0.000 0.882 0.373 S
0.000 0.373 0.882 S
0.000 0.633 0.633 S
0.000 0.367 0.367 S
0.500 0.867 0.133 S
0.500 0.873 0.618 S
0.500 0.382 0.127 S
0.000 0.627 0.118 S
0.500 0.133 0.867 S
0.500 0.127 0.382 S
0.500 0.618 0.873 S
0.000 0.118 0.627 S
0.000 0.874 0.874 Se
0.000 0.126 0.126 Se
0.500 0.626 0.374 Se
0.500 0.374 0.626 Se
```

Space-group type: P4_2/mnm, No. 136
Formation energy from raw total energies: -1987 meV per atom
Relative energy among the computed polymorphs: 0 meV/atom


A geometry-optimized Sm6Se2S3 structure. Source: Alexandria, functional GGA-PBE.

```
Sm6Se2S3
1.0
-2.747 -2.413 -1.670
-2.162 -2.484 2.306
-15.498 12.564 2.506
S Se Sm
3 2 6
direct
0.000 0.000 0.000 S
0.279 0.279 0.164 S
0.721 0.721 0.836 S
0.445 0.445 0.665 Se
0.555 0.555 0.335 Se
0.081 0.081 0.756 Sm
0.809 0.809 0.573 Sm
0.361 0.361 0.918 Sm
0.639 0.639 0.082 Sm
0.191 0.191 0.427 Sm
0.919 0.919 0.244 Sm
```

Space-group type: R-3m, No. 166
Formation energy from raw total energies: -1742 meV per atom


A geometry-optimized Sm3SeS2 structure. Source: Alexandria, functional GGA-PBE.

```
Sm3SeS2
1.0
-0.123 2.395 3.284
-4.639 -2.820 1.884
5.976 -3.703 0.407
S Sm Se
2 3 1
direct
0.837 0.837 0.173 S
0.163 0.163 0.827 S
0.177 0.677 0.854 Sm
0.500 0.000 0.500 Sm
0.823 0.323 0.146 Sm
0.500 0.500 0.500 Se
```

Space-group type: Immm, No. 71
Formation energy from raw total energies: -1945 meV per atom
Relative energy among the computed polymorphs: 0 meV/atom


A geometry-optimized Sm3SeS2 structure. Source: Alexandria, functional GGA-PBE.

```
Sm3SeS2
1.0
4.138 0.000 0.000
-2.069 6.847 0.000
0.000 0.000 10.821
Se S Sm
2 4 6
direct
0.754 0.508 0.750 Se
0.246 0.492 0.250 Se
0.000 0.000 0.000 S
0.475 0.951 0.750 S
0.000 0.000 0.500 S
0.525 0.049 0.250 S
0.903 0.806 0.250 Sm
0.644 0.287 0.056 Sm
0.644 0.287 0.444 Sm
0.097 0.194 0.750 Sm
0.356 0.713 0.944 Sm
0.356 0.713 0.556 Sm
```

Space-group type: Cmcm, No. 63
Formation energy from raw total energies: -1587 meV per atom
Relative energy among the computed polymorphs: 358 meV/atom


A geometry-optimized SmSeS structure. Source: Alexandria, functional GGA-PBE.

```
SmSeS
1.0
-2.411 2.804 -1.875
-4.124 -1.246 3.438
5.413 3.927 3.498
Se Sm S
2 2 2
direct
0.500 0.719 0.000 Se
0.500 0.281 0.000 Se
0.845 0.345 0.690 Sm
0.155 0.655 0.310 Sm
0.212 0.212 0.424 S
0.788 0.788 0.576 S
```

Space-group type: Immm, No. 71
Formation energy from raw total energies: -1682 meV per atom
Relative energy among the computed polymorphs: 2 meV/atom


A geometry-optimized Sm3Se3S structure. Source: Alexandria, functional GGA-PBE.

```
Sm3Se3S
1.0
-5.295 1.347 -1.866
1.364 -4.477 -3.382
-1.124 -2.595 5.034
Se Sm S
3 3 1
direct
0.564 0.564 0.167 Se
0.167 0.564 0.564 Se
0.564 0.167 0.564 Se
0.994 0.994 0.505 Sm
0.505 0.994 0.994 Sm
0.994 0.505 0.994 Sm
0.010 0.010 0.010 S
```

Space-group type: R3m, No. 160
Formation energy from raw total energies: -1741 meV per atom
Relative energy among the computed polymorphs: 0 meV/atom


A geometry-optimized Sm5SeS4 structure. Source: Alexandria, functional GGA-PBE.

```
Sm5SeS4
1.0
3.935 0.000 0.899
1.660 6.576 1.796
0.009 0.007 9.024
S Sm Se
4 5 1
direct
0.597 0.202 0.603 S
0.202 0.392 0.203 S
0.403 0.798 0.397 S
0.798 0.608 0.797 S
0.205 0.898 0.692 Sm
0.393 0.319 0.895 Sm
0.607 0.681 0.105 Sm
0.000 0.500 0.500 Sm
0.795 0.102 0.308 Sm
0.000 0.000 0.000 Se
```

Space-group type: C2/m, No. 12
Formation energy from raw total energies: -1981 meV per atom
Relative energy among the computed polymorphs: 0 meV/atom


A geometry-optimized Sm3Se2S2 structure. Source: Alexandria, functional GGA-PBE.

```
Sm3Se2S2
1.0
4.063 -0.003 -0.003
-2.024 6.601 -1.072
0.001 -0.098 7.231
S Sm Se
2 3 2
direct
0.628 0.256 0.894 S
0.372 0.744 0.106 S
0.760 0.519 0.253 Sm
0.240 0.481 0.747 Sm
0.000 0.000 0.000 Sm
0.873 0.749 0.630 Se
0.127 0.251 0.370 Se
```

Space-group type: P-1, No. 2
Formation energy from raw total energies: -1973 meV per atom
Relative energy among the computed polymorphs: 0 meV/atom